[1]
Entry from the Alexandria database: a relaxed Ca2ScTa crystal (PBE).

Values from the calculation:
Energy relative to the lowest polymorph listed for this composition, meV per atom: 73
Space-group type: No. 99
Energy relative to the elements, meV/atom: 433
Fermi-level density of states, states/eV per atom: 1.432

Cell lengths 3.6569, 3.6569, 8.7053 Å; angles 90.00, 90.00, 90.00 degrees
Last column: nearest neighbours and their distance in Å.
Fractional positions:
Ca  0.0000  0.0000  0.0000  4 Ta 3.35, 1 Sc 3.41, 4 Ca 3.66
Ca  0.5000  0.5000  0.3450  4 Sc 3.45, 1 Ta 3.58, 4 Ca 3.66
Sc  0.0000  0.0000  0.6080  4 Ta 2.89
Ta  0.5000  0.5000  0.7559  4 Sc 2.89

[2]
Entry from the Alexandria database: a relaxed YRu crystal (PBE).

Values from the calculation:
Space-group type: No. 70
Energy relative to the elements, meV/atom: 63
Fermi-level density of states, states/eV per atom: 1.033

Cell lengths 8.3184, 7.6393, 5.1595 Å; angles 78.45, 64.13, 37.42 degrees
Last column: nearest neighbours and their distance in Å.
Fractional positions:
Y  0.0492  0.7008  0.0492  4 Ru 2.83-3.06, 3 Y 3.02-3.10
Y  0.2992  0.9508  0.2992  4 Ru 2.83-3.06, 3 Y 3.02-3.10
Y  0.7008  0.0492  0.7008  4 Ru 2.83-3.06, 3 Y 3.02-3.10
Y  0.9508  0.2992  0.9508  4 Ru 2.83-3.06, 3 Y 3.02-3.10
Ru  0.2914  0.2914  0.4586  1 Ru 2.38
Ru  0.4586  0.4586  0.2914  1 Ru 2.38
Ru  0.5414  0.5414  0.7086  1 Ru 2.38
Ru  0.7086  0.7086  0.5414  1 Ru 2.38

[3]
Entry from the Alexandria database: a relaxed Ta2V2Te7 crystal (PBE).

Values from the calculation:
Space-group type: No. 12
Fermi-level density of states, states/eV per atom: 0.496
ΔE_f (raw), eV per atom: -0.041

Cell lengths 7.4142, 7.4142, 6.2718 Å; angles 95.18, 95.18, 116.36 degrees
Last column: nearest neighbours and their distance in Å.
Fractional positions:
Ta  0.1408  0.1408  0.1747  3 Te 2.73-2.75, 1 Ta 2.83
Ta  0.8592  0.8592  0.8253  3 Te 2.73-2.75, 1 Ta 2.83
V  0.1744  0.8256  0.5000  6 Te 2.72-2.80
V  0.8256  0.1744  0.5000  6 Te 2.72-2.80
Te  0.0358  0.4484  0.2417  2 V 2.72-2.80, 1 Ta 2.73
Te  0.1756  0.1756  0.6908  1 Ta 2.75, 2 V 2.75, 1 Te 2.92
Te  0.4484  0.0358  0.2417  2 V 2.72-2.80, 1 Ta 2.73
Te  0.5000  0.5000  0.0000  2 Te 2.92, 2 Ta 3.18
Te  0.5516  0.9642  0.7583  2 V 2.72-2.80, 1 Ta 2.73
Te  0.8244  0.8244  0.3092  1 Ta 2.75, 2 V 2.75, 1 Te 2.92
Te  0.9642  0.5516  0.7583  2 V 2.72-2.80, 1 Ta 2.73

[4]
Entry from the Alexandria database: a relaxed LiAcAsH crystal (PBE).

Values from the calculation:
Energy relative to the lowest polymorph listed for this composition, meV per atom: 276
Space-group type: No. 216
Fermi-level density of states, states/eV per atom: 0.000

Cell lengths 4.9429, 4.9429, 4.9429 Å; angles 60.00, 60.00, 60.00 degrees
Last column: nearest neighbours and their distance in Å.
Fractional positions:
Li  0.0000  0.0000  0.0000  4 As 3.03, 4 H 3.03
Ac  0.5000  0.5000  0.5000  4 H 3.03, 4 As 3.03
As  0.7500  0.7500  0.7500  4 Ac 3.03, 4 Li 3.03
H  0.2500  0.2500  0.2500  4 Ac 3.03, 4 Li 3.03

[5]
Entry from the Alexandria database: a relaxed AcHoIr crystal (PBE).

Values from the calculation:
Energy relative to the lowest polymorph listed for this composition, meV per atom: 182
Space-group type: No. 107
Energy relative to the elements, meV/atom: -434
Fermi-level density of states, states/eV per atom: 1.121

Cell lengths 7.1009, 7.1009, 7.1009 Å; angles 150.42, 150.42, 42.33 degrees
Last column: nearest neighbours and their distance in Å.
Fractional positions:
Ac  0.0000  0.0000  0.0000  4 Ir 3.20, 1 Ho 3.34
Ho  0.2519  0.2519  0.0000  4 Ir 2.93
Ir  0.6440  0.6440  0.0000  4 Ho 2.93, 4 Ac 3.20

[6]
Entry from the Alexandria database: a relaxed Tb8Tm6Tl crystal (PBE).

Values from the calculation:
Space-group type: No. 147
Energy relative to the elements, meV/atom: 204
Fermi-level density of states, states/eV per atom: 1.262

Cell lengths 9.0806, 9.0806, 6.7052 Å; angles 90.00, 90.00, 120.00 degrees
Last column: nearest neighbours and their distance in Å.
Fractional positions:
Tb  0.0085  0.6904  0.3804  2 Tm 3.14-3.37, 3 Tb 3.21-3.27
Tb  0.3096  0.3181  0.3804  2 Tm 3.14-3.37, 3 Tb 3.21-3.27
Tb  0.3181  0.0085  0.6196  2 Tm 3.14-3.37, 3 Tb 3.21-3.27
Tb  0.3333  0.6667  0.6846  3 Tb 3.21
Tb  0.6667  0.3333  0.3154  3 Tb 3.21
Tb  0.6819  0.9915  0.3804  2 Tm 3.14-3.37, 3 Tb 3.21-3.27
Tb  0.6904  0.6819  0.6196  2 Tm 3.14-3.37, 3 Tb 3.21-3.27
Tb  0.9915  0.3096  0.6196  2 Tm 3.14-3.37, 3 Tb 3.21-3.27
Tm  0.0777  0.3993  0.1084  2 Tb 3.14-3.37, 1 Tm 3.17, 1 Tl 3.41
Tm  0.3215  0.9223  0.1084  2 Tb 3.14-3.37, 1 Tm 3.17, 1 Tl 3.41
Tm  0.3993  0.3215  0.8916  2 Tb 3.14-3.37, 1 Tm 3.17, 1 Tl 3.41
Tm  0.6007  0.6785  0.1084  2 Tb 3.14-3.37, 1 Tm 3.17, 1 Tl 3.41
Tm  0.6785  0.0777  0.8916  2 Tb 3.14-3.37, 1 Tm 3.17, 1 Tl 3.41
Tm  0.9223  0.6007  0.8916  2 Tb 3.14-3.37, 1 Tm 3.17, 1 Tl 3.41
Tl  0.0000  0.0000  0.0000  6 Tm 3.41

[7]
Entry from the Alexandria database: a relaxed K2CePbO4 crystal (PBE).

Values from the calculation:
Space-group type: No. 10
ΔE_f (raw), eV per atom: -2.076

Cell lengths 6.3884, 3.6591, 6.6089 Å; angles 90.00, 108.76, 90.00 degrees
Last column: nearest neighbours and their distance in Å.
Fractional positions:
K  0.0000  0.0000  0.0000  6 O 2.74-2.75
K  0.5000  0.5000  0.0000  6 O 2.93-3.08
Ce  0.0000  0.5000  0.5000  6 O 2.21-2.37
Pb  0.5000  0.0000  0.5000  6 O 2.58-2.60
O  0.2046  0.0000  0.6931  2 Ce 2.37, 1 Pb 2.60
O  0.2230  0.5000  0.3046  1 Ce 2.21
O  0.7770  0.5000  0.6954  1 Ce 2.21
O  0.7954  0.0000  0.3069  2 Ce 2.37, 1 Pb 2.60

[8]
Entry from the Alexandria database: a relaxed KFe4Br crystal (PBE).

Values from the calculation:
Space-group type: No. 216
Fermi-level density of states, states/eV per atom: 1.073
ΔE_f (raw), eV per atom: 0.785

Cell lengths 5.3769, 5.3769, 5.3769 Å; angles 60.00, 60.00, 60.00 degrees
Last column: nearest neighbours and their distance in Å.
Fractional positions:
K  0.0000  0.0000  0.0000  12 Fe 3.13, 4 Br 3.29
Fe  0.3659  0.3659  0.3659  3 Fe 2.49
Fe  0.3659  0.3659  0.9023  3 Fe 2.49
Fe  0.3659  0.9023  0.3659  3 Fe 2.49
Fe  0.9023  0.3659  0.3659  3 Fe 2.49
Br  0.7500  0.7500  0.7500  12 Fe 3.18, 4 K 3.29

[9]
Entry from the Alexandria database: a relaxed AlMoPb crystal (PBE).

Values from the calculation:
Energy relative to the lowest polymorph listed for this composition, meV per atom: 169
Space-group type: No. 42
Energy relative to the elements, meV/atom: 481
Fermi-level density of states, states/eV per atom: 0.805

Cell lengths 7.1932, 7.0814, 3.0169 Å; angles 79.88, 75.73, 24.39 degrees
Last column: nearest neighbours and their distance in Å.
Fractional positions:
Al  0.0000  0.0000  0.0000  4 Mo 2.62-2.91
Mo  0.6293  0.6293  0.3707  4 Al 2.62-2.91
Pb  0.3003  0.3003  0.6997  4 Pb 3.02, 4 Mo 3.03-3.28, 2 Al 3.34

[10]
Entry from the Alexandria database: a relaxed Nb6CoNi crystal (PBE).

Values from the calculation:
Space-group type: No. 139
Energy relative to the elements, meV/atom: -26
Fermi-level density of states, states/eV per atom: 1.204

Cell lengths 6.9891, 6.9891, 6.9891 Å; angles 141.35, 141.35, 55.80 degrees
Last column: nearest neighbours and their distance in Å.
Fractional positions:
Nb  0.1191  0.6191  0.5000  2 Co 2.74, 2 Ni 2.74, 5 Nb 2.82-2.94
Nb  0.2495  0.2495  0.0000  8 Nb 2.82-2.83, 1 Co 3.08, 1 Ni 3.09
Nb  0.3809  0.8809  0.5000  2 Co 2.74, 2 Ni 2.74, 5 Nb 2.82-2.94
Nb  0.6191  0.1191  0.5000  2 Co 2.74, 2 Ni 2.74, 5 Nb 2.82-2.94
Nb  0.7505  0.7505  0.0000  8 Nb 2.82-2.83, 1 Co 3.08, 1 Ni 3.09
Nb  0.8809  0.3809  0.5000  2 Co 2.74, 2 Ni 2.74, 5 Nb 2.82-2.94
Co  0.0000  0.0000  0.0000  8 Nb 2.74
Ni  0.5000  0.5000  0.0000  8 Nb 2.74

[11]
Entry from the Alexandria database: a relaxed Np2AsF crystal (PBE).

Values from the calculation:
Space-group type: No. 166
Fermi-level density of states, states/eV per atom: 2.526
ΔE_f (raw), eV per atom: -0.993

Cell lengths 4.6906, 4.6906, 4.6906 Å; angles 67.16, 67.16, 67.16 degrees
Last column: nearest neighbours and their distance in Å.
Fractional positions:
Np  0.2191  0.2191  0.2191  1 F 2.37
Np  0.7809  0.7809  0.7809  1 F 2.37
As  0.5000  0.5000  0.5000  8 Np 3.04-3.05
F  0.0000  0.0000  0.0000  2 Np 2.37

[12]
Entry from the Alexandria database: a relaxed Sr2MgRhN crystal (PBE).

Values from the calculation:
Space-group type: No. 123
Fermi-level density of states, states/eV per atom: 0.352
ΔE_f (raw), eV per atom: -0.332

Cell lengths 5.5174, 5.5174, 3.8776 Å; angles 90.00, 90.00, 90.00 degrees
Last column: nearest neighbours and their distance in Å.
Fractional positions:
Sr  0.0000  0.5000  0.0000  2 N 2.76
Sr  0.5000  0.0000  0.0000  2 N 2.76
Mg  0.0000  0.0000  0.5000  8 Sr 3.37
Rh  0.5000  0.5000  0.5000  2 N 1.94
N  0.5000  0.5000  0.0000  2 Rh 1.94

[13]
Entry from the Alexandria database: a relaxed Li2LaSi crystal (PBE).

Values from the calculation:
Space-group type: No. 99
Fermi-level density of states, states/eV per atom: 0.705
ΔE_f (raw), eV per atom: -0.136

Cell lengths 3.4357, 3.4357, 7.4974 Å; angles 90.00, 90.00, 90.00 degrees
Last column: nearest neighbours and their distance in Å.
Fractional positions:
Li  0.0000  0.0000  0.0000  1 Si 2.83, 4 Li 2.87
Li  0.5000  0.5000  0.2032  4 Si 2.76, 4 Li 2.87
La  0.5000  0.5000  0.6397  4 Si 3.12, 1 Li 3.27, 4 La 3.44
Si  0.0000  0.0000  0.3777  5 Li 2.76-2.83

[14]
Entry from the Alexandria database: a relaxed Ca3Y3CdSe8 crystal (PBE).

Values from the calculation:
Space-group type: No. 166
Fermi-level density of states, states/eV per atom: 0.270
ΔE_f (raw), eV per atom: -1.724

Cell lengths 8.3100, 8.3100, 8.3100 Å; angles 59.32, 59.32, 59.32 degrees
Last column: nearest neighbours and their distance in Å.
Fractional positions:
Ca  0.0000  0.5000  0.5000  6 Se 2.94-2.96
Ca  0.5000  0.0000  0.5000  6 Se 2.94-2.96
Ca  0.5000  0.5000  0.0000  6 Se 2.94-2.96
Y  0.0000  0.0000  0.5000  6 Se 2.88-2.90
Y  0.0000  0.5000  0.0000  6 Se 2.88-2.90
Y  0.5000  0.0000  0.0000  6 Se 2.88-2.90
Cd  0.5000  0.5000  0.5000  6 Se 2.90
Se  0.2452  0.7480  0.7480  2 Y 2.88, 1 Cd 2.90, 2 Ca 2.96
Se  0.2482  0.2482  0.2482  3 Y 2.90, 3 Ca 2.94
Se  0.2520  0.2520  0.7548  2 Y 2.88, 1 Cd 2.90, 2 Ca 2.96
Se  0.2520  0.7548  0.2520  2 Y 2.88, 1 Cd 2.90, 2 Ca 2.96
Se  0.7480  0.2452  0.7480  2 Y 2.88, 1 Cd 2.90, 2 Ca 2.96
Se  0.7480  0.7480  0.2452  2 Y 2.88, 1 Cd 2.90, 2 Ca 2.96
Se  0.7518  0.7518  0.7518  3 Y 2.90, 3 Ca 2.94
Se  0.7548  0.2520  0.2520  2 Y 2.88, 1 Cd 2.90, 2 Ca 2.96

[15]
Entry from the Alexandria database: a relaxed MgBe4Cu8 crystal (PBE).

Values from the calculation:
Space-group type: No. 139
Energy relative to the elements, meV/atom: -80
Fermi-level density of states, states/eV per atom: 0.437

Cell lengths 6.1171, 6.1171, 6.1171 Å; angles 98.02, 98.02, 136.15 degrees
Last column: nearest neighbours and their distance in Å.
Fractional positions:
Mg  0.0000  0.0000  0.0000  12 Cu 2.78-2.88, 8 Be 3.06
Be  0.0000  0.0000  0.5000  2 Be 2.28, 8 Cu 2.32-2.43
Be  0.0000  0.5000  0.0000  2 Be 2.28, 8 Cu 2.32-2.43
Be  0.5000  0.0000  0.0000  2 Be 2.28, 8 Cu 2.32-2.43
Be  0.5000  0.5000  0.5000  2 Be 2.28, 8 Cu 2.32-2.43
Cu  0.0000  0.3461  0.3461  4 Be 2.43, 5 Cu 2.47-2.57
Cu  0.0000  0.6539  0.6539  4 Be 2.43, 5 Cu 2.47-2.57
Cu  0.2813  0.5000  0.7813  4 Be 2.32, 6 Cu 2.48-2.57
Cu  0.3461  0.0000  0.3461  4 Be 2.43, 5 Cu 2.47-2.57
Cu  0.5000  0.2813  0.7813  4 Be 2.32, 6 Cu 2.48-2.57
Cu  0.5000  0.7187  0.2187  4 Be 2.32, 6 Cu 2.48-2.57
Cu  0.6539  0.0000  0.6539  4 Be 2.43, 5 Cu 2.47-2.57
Cu  0.7187  0.5000  0.2187  4 Be 2.32, 6 Cu 2.48-2.57

[16]
Entry from the Alexandria database: a relaxed TbU2PaAs4 crystal (PBE).

Values from the calculation:
Space-group type: No. 10
Energy relative to the elements, meV/atom: -1006
Fermi-level density of states, states/eV per atom: 1.721

Cell lengths 7.0465, 4.0668, 7.1978 Å; angles 90.00, 109.05, 90.00 degrees
Last column: nearest neighbours and their distance in Å.
Fractional positions:
Tb  0.0000  0.0000  0.0000  6 As 2.90-2.91
U  0.0000  0.5000  0.5000  6 As 2.90
U  0.5000  0.0000  0.5000  6 As 2.89-2.90
Pa  0.5000  0.5000  0.0000  6 As 2.90
As  0.2503  0.0000  0.7501  2 Pa 2.90, 3 U 2.90, 1 Tb 2.90
As  0.2520  0.5000  0.2512  3 U 2.89-2.90, 1 Pa 2.90, 2 Tb 2.91
As  0.7480  0.5000  0.7488  3 U 2.89-2.90, 1 Pa 2.90, 2 Tb 2.91
As  0.7497  0.0000  0.2499  2 Pa 2.90, 3 U 2.90, 1 Tb 2.90

[17]
Entry from the Alexandria database: a relaxed Sr2LaBr crystal (PBE).

Values from the calculation:
Space-group type: No. 166
Fermi-level density of states, states/eV per atom: 1.040
ΔE_f (raw), eV per atom: -0.684

Cell lengths 11.3710, 11.3710, 11.3710 Å; angles 20.58, 20.58, 20.58 degrees
Last column: nearest neighbours and their distance in Å.
Fractional positions:
Sr  0.2376  0.2376  0.2376  3 Br 3.33
Sr  0.7624  0.7624  0.7624  3 Br 3.33
La  0.0000  0.0000  0.0000  6 Sr 3.96, 6 La 4.06
Br  0.5000  0.5000  0.5000  6 Sr 3.33

[18]
Entry from the Alexandria database: a relaxed W2BrCl crystal (PBE).

Values from the calculation:
Energy relative to the lowest polymorph listed for this composition, meV per atom: 1256
Space-group type: No. 65
Fermi-level density of states, states/eV per atom: 0.823
ΔE_f (raw), eV per atom: 1.186

Cell lengths 3.0778, 3.0778, 9.1737 Å; angles 90.00, 90.00, 124.96 degrees
Last column: nearest neighbours and their distance in Å.
Fractional positions:
W  0.0000  0.0000  0.2438  2 Cl 2.65, 2 Br 2.75, 2 W 2.84
W  0.0000  0.0000  0.7562  2 Cl 2.65, 2 Br 2.75, 2 W 2.84
Br  0.5000  0.5000  0.5000  4 W 2.75, 2 Br 2.84
Cl  0.5000  0.5000  0.0000  4 W 2.65, 2 Cl 2.84

[19]
Entry from the Alexandria database: a relaxed Ba2AlCrSi crystal (PBE).

Values from the calculation:
Energy relative to the lowest polymorph listed for this composition, meV per atom: 125
Space-group type: No. 123
Fermi-level density of states, states/eV per atom: 0.800
ΔE_f (raw), eV per atom: 0.702

Cell lengths 5.5731, 5.5731, 4.9002 Å; angles 90.00, 90.00, 90.00 degrees
Last column: nearest neighbours and their distance in Å.
Fractional positions:
Ba  0.0000  0.5000  0.0000  2 Cr 2.79
Ba  0.5000  0.0000  0.0000  2 Cr 2.79
Al  0.0000  0.0000  0.5000  2 Cr 2.45
Cr  0.0000  0.0000  0.0000  2 Al 2.45
Si  0.5000  0.5000  0.5000  8 Ba 3.71, 4 Al 3.94

[20]
Entry from the Alexandria database: a relaxed AsHPbSe2 crystal (PBE).

Values from the calculation:
Energy relative to the lowest polymorph listed for this composition, meV per atom: 0
Space-group type: No. 123
Fermi-level density of states, states/eV per atom: 0.476

Cell lengths 5.3489, 5.3489, 3.4916 Å; angles 90.00, 90.00, 90.00 degrees
Last column: nearest neighbours and their distance in Å.
Fractional positions:
As  0.0000  0.0000  0.0000  2 H 1.75
H  0.0000  0.0000  0.5000  2 As 1.75
Pb  0.5000  0.5000  0.0000  8 Se 3.19, 2 Pb 3.49
Se  0.0000  0.5000  0.5000  2 H 2.67
Se  0.5000  0.0000  0.5000  2 H 2.67

| no. | total magnetic moment (μB/f.u.) | E (Ha/atom) |
| --- | --- | --- |
| 1 | 1.2 | -0.1879 |
| 2 | 0.0 | -0.2869 |
| 3 | 4.0 | -0.2151 |
| 4 | 0.0 | -0.1541 |
| 5 | 0.0 | -0.2309 |
| 6 | 0.0 | -0.1548 |
| 7 | 0.0 | -0.2218 |
| 8 | 11.9 | -0.1954 |
| 9 | 0.0 | -0.2063 |
| 10 | 0.6 | -0.3377 |
| 11 | 10.0 | -0.3342 |
| 12 | 0.0 | -0.1639 |
| 13 | 0.0 | -0.1352 |
| 14 | 0.0 | -0.1961 |
| 15 | 0.0 | -0.1422 |
| 16 | 5.4 | -0.2910 |
| 17 | 0.0 | -0.1167 |
| 18 | 0.0 | -0.2268 |
| 19 | 4.4 | -0.1406 |
| 20 | 0.0 | -0.1273 |